[1]
The following is a DFT calculation (GGA-PBE) of an optimized crystal structure of TiNbSn3.

```
data_TiNbSn3
_chemical_formula_sum 'Ti1 Nb1 Sn3'
_cell_length_a 5.1908
_cell_length_b 5.1908
_cell_length_c 5.1908
_cell_angle_alpha 90.00
_cell_angle_beta 90.00
_cell_angle_gamma 90.00
_space_group_name_H-M_alt 'P 1'
_space_group_IT_number 1
loop_
_space_group_symop_operation_xyz
'x,y,z'
loop_
_atom_site_label
_atom_site_type_symbol
_atom_site_fract_x
_atom_site_fract_y
_atom_site_fract_z
_atom_site_occupancy
Ti1 Ti 0.0000 0.0000 0.0000 1
Nb1 Nb 0.5000 0.5000 0.5000 1
Sn1 Sn 0.0000 0.0000 0.5000 1
Sn2 Sn 0.0000 0.5000 0.0000 1
Sn3 Sn 0.5000 0.0000 0.0000 1
```

Output
Relative energy among the computed polymorphs = 0.0 meV per atom

[2]
The following is a DFT calculation (GGA-PBE) of an optimized crystal structure of Pd2RuS2.

```
data_Pd2RuS2
_chemical_formula_sum 'Pd4 Ru2 S4'
_cell_length_a 6.3842
_cell_length_b 6.3842
_cell_length_c 3.7740
_cell_angle_alpha 90.00
_cell_angle_beta 90.00
_cell_angle_gamma 90.00
_space_group_name_H-M_alt 'P 1'
_space_group_IT_number 1
loop_
_space_group_symop_operation_xyz
'x,y,z'
loop_
_atom_site_label
_atom_site_type_symbol
_atom_site_fract_x
_atom_site_fract_y
_atom_site_fract_z
_atom_site_occupancy
Pd1 Pd 0.1607 0.3393 0.0000 1
Pd2 Pd 0.3393 0.8393 0.0000 1
Pd3 Pd 0.6607 0.1607 0.0000 1
Pd4 Pd 0.8393 0.6607 0.0000 1
Ru1 Ru 0.0000 0.0000 0.5000 1
Ru2 Ru 0.5000 0.5000 0.5000 1
S1 S 0.1709 0.6709 0.5000 1
S2 S 0.3291 0.1709 0.5000 1
S3 S 0.6709 0.8291 0.5000 1
S4 S 0.8291 0.3291 0.5000 1
```

Output
Energy relative to the elements, uncorrected = 0.446 eV per formula unit

[3]
The following is a DFT calculation (GGA-PBE) of an optimized crystal structure of BeAlSb2.

```
data_BeAlSb2
_chemical_formula_sum 'Be1 Al1 Sb2'
_cell_length_a 4.9487
_cell_length_b 4.9487
_cell_length_c 3.8012
_cell_angle_alpha 90.00
_cell_angle_beta 90.00
_cell_angle_gamma 107.33
_space_group_name_H-M_alt 'P 1'
_space_group_IT_number 1
loop_
_space_group_symop_operation_xyz
'x,y,z'
loop_
_atom_site_label
_atom_site_type_symbol
_atom_site_fract_x
_atom_site_fract_y
_atom_site_fract_z
_atom_site_occupancy
Be1 Be 0.0000 0.0000 0.0000 1
Al1 Al 0.5000 0.5000 0.0000 1
Sb1 Sb 0.2113 0.7887 0.5000 1
Sb2 Sb 0.7887 0.2113 0.5000 1
```

Output
Relative energy among the computed polymorphs = 267.9 meV per atom
Energy relative to the elements, uncorrected = 1.399 eV per formula unit

Magnetic moment / μB per formula unit: 3.07 0.00 0.00